[1]
# NaBeNiO2

A geometry-optimized NaBeNiO2 structure (PBE with a Hubbard U, Alexandria).

## Properties
Its space group is P2/c, No. 13. The crystal system is monoclinic. For the total DFT energy (no corrections), the calculation gives -47.66 eV/cell. Its magnetic moment is 1.000 μB/f.u.

```
NaBeNiO2
1.0
5.483 0.000 0.000
0.000 3.387 0.000
-1.323 0.000 6.184
Na Be Ni O
2 2 2 4
direct
0.000 0.221 0.250
0.000 0.779 0.750
0.500 0.000 0.000
0.500 0.000 0.500
0.500 0.492 0.750
0.500 0.508 0.250
0.281 0.278 0.960
0.281 0.722 0.460
0.719 0.278 0.540
0.719 0.722 0.040
```



[2]
# NaBeNiO3

A geometry-optimized NaBeNiO3 structure (PBE with a Hubbard U, Alexandria).

## Properties
Its space group is P2_1/m, No. 11. The crystal system is monoclinic. For the total DFT energy (no corrections), the calculation gives -64.17 eV/cell. Its magnetic moment is 1.000 μB/f.u.

```
NaBeNiO3
1.0
5.813 0.000 0.000
0.000 2.850 0.000
-2.270 0.000 7.644
Na Be Ni O
2 2 2 6
direct
0.191 0.250 0.204
0.809 0.750 0.796
0.117 0.750 0.587
0.883 0.250 0.413
0.351 0.250 0.850
0.649 0.750 0.150
0.010 0.750 0.370
0.286 0.750 0.989
0.393 0.750 0.702
0.607 0.250 0.298
0.714 0.250 0.011
0.990 0.250 0.630
```



[3]
# Na2BeNiO4

A geometry-optimized Na2BeNiO4 structure (PBE with a Hubbard U, Alexandria).

## Properties
Its space group is Fddd, No. 70. The crystal system is orthorhombic. For the total DFT energy (no corrections), the calculation gives -77.07 eV/cell. Its magnetic moment is 1.980 μB/f.u.

```
Na2BeNiO4
1.0
0.000 5.430 8.298
2.345 0.000 8.298
2.345 5.430 0.000
Na Be Ni O
4 2 2 8
direct
0.060 0.060 0.690
0.310 0.310 0.940
0.690 0.690 0.060
0.940 0.940 0.310
0.375 0.375 0.375
0.625 0.625 0.625
0.125 0.125 0.125
0.875 0.875 0.875
0.003 0.662 0.555
0.280 0.555 0.662
0.338 0.997 0.720
0.445 0.720 0.997
0.555 0.280 0.003
0.662 0.003 0.280
0.720 0.445 0.338
0.997 0.338 0.445
```